Entry 1:
Computed, not measured: SiTeMo at its PBEsol-relaxed geometry at the meta-GGA SCAN level of DFT.

Output
Raw formation energy, eV per formula unit: 3.5
Distance to the lowest polymorph of the same formula, eV/atom: 0.8369

a b c (Å): 6.2845 6.2845 6.2845
angles (deg): 90.00 90.00 90.00
Last column: nearest neighbours and their distance in Å.
Space group F-43m (No. 216)
One atom of each set of equivalent atoms:
Si: 0.0000 0.0000 0.0000 (multiplicity 4)  4 Te 2.72
Te: 0.2500 0.2500 0.7500 (multiplicity 4)  4 Mo 2.72, 4 Si 2.72
Mo: 0.0000 0.0000 0.5000 (multiplicity 4)  4 Te 2.72

***

Entry 2:
Computed, not measured: K2GaAgF6 at its PBEsol-relaxed geometry at the meta-GGA SCAN level of DFT.

Output
Raw formation energy, eV per formula unit: -26.1

a b c (Å): 8.4997 8.4997 8.4997
angles (deg): 90.00 90.00 90.00
Last column: nearest neighbours and their distance in Å.
Space group Fm-3m (No. 225)
One atom of each set of equivalent atoms:
K: 0.2500 0.2500 0.2500 (multiplicity 8)  12 F 3.01
Ga: 0.0000 0.0000 0.0000 (multiplicity 4)  6 F 1.90
Ag: 0.0000 0.0000 0.5000 (multiplicity 4)  6 F 2.35
F: 0.0000 0.0000 0.2237 (multiplicity 24)  1 Ga 1.90

***

Entry 3:
Computed, not measured: ScPtW2 at its PBEsol-relaxed geometry at the meta-GGA SCAN level of DFT.

Output
ΔE_f, eV per atom: -0.172

a b c (Å): 2.7427 2.7427 8.6623
angles (deg): 90.00 90.00 90.00
Last column: nearest neighbours and their distance in Å.
Space group P4mm (No. 99)
One atom of each set of equivalent atoms:
Sc: 0.0000 0.0000 0.0000 (multiplicity 1)  4 Sc 2.74, 4 Pt 2.90, 4 W 3.04
Pt: 0.5000 0.5000 0.7516 (multiplicity 1)  4 W 2.74, 4 Pt 2.74, 4 Sc 2.90
W: 0.0000 0.0000 0.5282 (multiplicity 1)  4 Pt 2.74, 8 W 2.74-2.96
W: 0.5000 0.5000 0.2702 (multiplicity 1)  8 W 2.74-2.96, 4 Sc 3.04

***

Entry 4:
Computed, not measured: TlGeCl3 at its PBEsol-relaxed geometry at the meta-GGA SCAN level of DFT.

Output
Raw formation energy, eV per formula unit: -4.8

a b c (Å): 5.6017 6.8437 7.4512
angles (deg): 90.00 104.33 90.00
Last column: nearest neighbours and their distance in Å.
Space group P2_1/m (No. 11)
One atom of each set of equivalent atoms:
Tl: 0.1824 0.2500 0.2902 (multiplicity 2)  7 Cl 3.24-3.32, 1 Ge 3.51
Ge: 0.4106 0.2500 0.8924 (multiplicity 2)  3 Cl 2.32-2.34
Cl: 0.1778 0.7500 0.1237 (multiplicity 2)  1 Ge 2.34
Cl: 0.3000 0.0000 0.6768 (multiplicity 4)  1 Ge 2.32